1.
VASP calculation (PBE-GGA) on a relaxed AlMo2As crystal.

Values from the calculation:
- DFT total energy: -7.505 eV/atom
- ΔH_f (0 K): 9 meV/atom
- Energy relative to the lowest polymorph listed for this composition: 226 meV/atom

Cell: 3.3595 4.3364 8.4797 Å, 90.00 90.00 90.00°
Space group Imm2 (No. 44)
One atom of each set of equivalent atoms:
Al  0.0000  0.0000  0.0000
Mo  0.0000  0.0000  0.4979
Mo  0.0000  0.5000  0.7509
As  0.0000  0.5000  0.2382

2.
VASP calculation (PBE-GGA) on a relaxed K2NpU2Te6 crystal.

Values from the calculation:
- DFT total energy: -5.942 eV/atom
- Formation energy (no corrections): -0.80 eV/atom

Cell: 7.7417 13.4673 8.7804 Å, 90.00 106.98 90.00°
Space group C2/m (No. 12)
One atom of each set of equivalent atoms:
K  0.0000  0.1647  0.0000
Np  0.0000  0.0000  0.5000
U  0.0000  0.3332  0.5000
Te  0.2272  0.5000  0.7078
Te  0.2386  0.1691  0.7077

3.
VASP calculation (PBE-GGA) on a relaxed MgCdCu3 crystal.

Values from the calculation:
- DFT total energy: -3.016 eV/atom
- ΔH_f (0 K): -56 meV/atom
- Energy relative to the lowest polymorph listed for this composition: 0 meV/atom

Cell: 5.2329 5.2329 19.8973 Å, 90.00 90.00 120.00°
Space group R-3m (No. 166, hexagonal axes)
One atom of each set of equivalent atoms:
Mg  0.0000  0.0000  0.0889
Cd  0.0000  0.0000  0.3340
Cu  0.0057  0.5029  0.8824

4.
VASP calculation (PBE-GGA) on a relaxed PaAgI5 crystal.

Values from the calculation:
- DFT total energy: -3.583 eV/atom
- Formation energy (no corrections): -0.71 eV/atom

Cell: 11.8696 11.3288 11.7671 Å, 90.00 118.85 90.00°
Space group C2/c (No. 15)
One atom of each set of equivalent atoms:
Pa  0.2500  0.2500  0.0000
Ag  0.0000  0.1289  0.2500
I  0.0000  0.3236  0.7500
I  0.1200  0.3008  0.1601
I  0.1744  0.0063  0.4766

5.
VASP calculation (PBE-GGA) on a relaxed CuPO crystal.

Values from the calculation:
- DFT total energy: -5.456 eV/atom
- Formation energy (no corrections): -0.64 eV/atom
- Energy relative to the lowest polymorph listed for this composition: 17 meV/atom

Cell: 4.0762 4.9949 5.4673 Å, 74.61 70.56 89.85°
Space group P1 (No. 1)
One atom of each set of equivalent atoms:
Cu  0.0000  0.0000  0.0000
Cu  0.3910  0.7379  0.3509
P  0.1514  0.6802  0.7963
P  0.4199  0.4674  0.0859
O  0.2333  0.1637  0.2057
O  0.8212  0.4180  0.8898

6.
VASP calculation (PBE-GGA) on a relaxed YTa2Pt2 crystal.

Values from the calculation:
- DFT total energy: -8.882 eV/atom
- ΔH_f (0 K): -431 meV/atom
- Energy relative to the lowest polymorph listed for this composition: 90 meV/atom

Cell: 8.1774 8.1774 2.8323 Å, 90.00 90.00 90.00°
Space group P4/mbm (No. 127)
One atom of each set of equivalent atoms:
Y  0.0000  0.0000  0.0000
Ta  0.1209  0.3791  0.0000
Pt  0.1740  0.6740  0.5000

7.
VASP calculation (PBE-GGA) on a relaxed Pm5Sn3Ir3 crystal.

Values from the calculation:
- DFT total energy: -6.011 eV/atom
- ΔH_f (0 K): -343 meV/atom

Cell: 8.9871 8.9871 4.7803 Å, 90.00 90.00 120.00°
Space group P-62m (No. 189)
One atom of each set of equivalent atoms:
Pm  0.0000  0.7539  0.0000
Pm  0.3333  0.6667  0.0000
Sn  0.0000  0.4666  0.5000
Ir  0.0000  0.3470  0.0000

8.
VASP calculation (PBE-GGA) on a relaxed Ca2YAg2 crystal.

Values from the calculation:
- DFT total energy: -3.298 eV/atom
- ΔH_f (0 K): -64 meV/atom
- Energy relative to the lowest polymorph listed for this composition: 177 meV/atom

Cell: 8.8009 8.8009 3.4370 Å, 90.00 90.00 90.00°
Space group P4/mbm (No. 127)
One atom of each set of equivalent atoms:
Ca  0.1334  0.3666  0.0000
Y  0.0000  0.0000  0.0000
Ag  0.1666  0.6666  0.5000

9.
VASP calculation (PBE-GGA) on a relaxed SnHPd3 crystal.

Values from the calculation:
- DFT total energy: -4.775 eV/atom
- Energy relative to the lowest polymorph listed for this composition: 203 meV/atom

Cell: 5.3552 5.3552 10.4171 Å, 90.00 90.00 90.00°
Space group I-4m2 (No. 119)
One atom of each set of equivalent atoms:
Sn  0.0000  0.0000  0.1491
H  0.0000  0.0000  0.5000
H  0.0000  0.5000  0.2500
Pd  0.0000  0.2504  0.3762
Pd  0.0000  0.5000  0.6170

10.
VASP calculation (PBE-GGA) on a relaxed SmEr6Se8 crystal.

Values from the calculation:
- DFT total energy: -5.794 eV/atom
- Formation energy (no corrections): -1.80 eV/atom

Cell: 11.4002 11.4002 11.4002 Å, 90.00 90.00 90.00°
Space group Fm-3m (No. 225)
One atom of each set of equivalent atoms:
Sm  0.0000  0.0000  0.0000
Er  0.0000  0.2500  0.2500
Se  0.0000  0.0000  0.2593
Se  0.2500  0.2500  0.2500

11.
VASP calculation (PBE-GGA) on a relaxed CeHo3Sb4 crystal.

Values from the calculation:
- DFT total energy: -5.614 eV/atom
- Formation energy (no corrections): -1.09 eV/atom

Cell: 8.8044 12.4348 4.4007 Å, 90.00 90.00 90.00°
Space group Cmmm (No. 65)
One atom of each set of equivalent atoms:
Ce  0.0000  0.0000  0.0000
Ho  0.0000  0.5000  0.0000
Ho  0.2500  0.2500  0.5000
Sb  0.0000  0.2520  0.0000
Sb  0.2452  0.5000  0.5000

12.
VASP calculation (PBE-GGA) on a relaxed NaRh3Pb crystal.

Values from the calculation:
- DFT total energy: -4.320 eV/atom
- ΔH_f (0 K): 1097 meV/atom
- Energy relative to the lowest polymorph listed for this composition: 0 meV/atom

Cell: 5.0600 5.0600 5.0600 Å, 90.00 90.00 90.00°
Space group Pm-3m (No. 221)
One atom of each set of equivalent atoms:
Na  0.0000  0.0000  0.0000
Rh  0.0000  0.5000  0.5000
Pb  0.5000  0.5000  0.5000

13.
VASP calculation (PBE-GGA) on a relaxed U3Fe9B2Ir crystal.

Values from the calculation:
- DFT total energy: -8.842 eV/atom
- ΔH_f (0 K): -26 meV/atom

Cell: 5.3292 5.3292 8.4893 Å, 90.00 90.00 120.00°
Space group P-3m1 (No. 164)
One atom of each set of equivalent atoms:
U  0.0000  0.0000  0.0000
U  0.3333  0.6667  0.6684
Fe  0.0000  0.5000  0.0000
Fe  0.1650  0.3299  0.2769
B  0.3333  0.6667  0.1401
Ir  0.0000  0.0000  0.5000

14.
VASP calculation (PBE-GGA) on a relaxed AcHfIrO6 crystal.

Values from the calculation:
- DFT total energy: -8.242 eV/atom
- Formation energy (no corrections): -2.39 eV/atom

Cell: 5.3760 5.3760 5.4185 Å, 90.00 90.00 120.00°
Space group P312 (No. 149)
One atom of each set of equivalent atoms:
Ac  0.0000  0.0000  0.0000
Hf  0.3333  0.6667  0.5000
Ir  0.6667  0.3333  0.5000
O  0.3736  0.0129  0.7073

15.
VASP calculation (PBE-GGA) on a relaxed SnN crystal.

Values from the calculation:
- DFT total energy: -5.909 eV/atom
- Formation energy (no corrections): 0.25 eV/atom

Cell: 3.4681 11.6717 4.7505 Å, 90.00 90.00 90.00°
Space group Pmmn (No. 59, origin choice 2)
One atom of each set of equivalent atoms:
Sn  0.2500  0.0657  0.2284
Sn  0.2500  0.7500  0.2574
N  0.2500  0.2500  0.0036
N  0.2500  0.6031  0.5072

16.
VASP calculation (PBE-GGA) on a relaxed ZnP2W crystal.

Values from the calculation:
- DFT total energy: -6.026 eV/atom
- ΔH_f (0 K): 235 meV/atom

Cell: 3.4813 4.5191 7.2145 Å, 90.00 90.00 90.00°
Space group Immm (No. 71)
One atom of each set of equivalent atoms:
Zn  0.0000  0.0000  0.0000
P  0.0000  0.5000  0.2696
W  0.0000  0.0000  0.5000

17.
VASP calculation (PBE-GGA) on a relaxed RbSr2H crystal.

Values from the calculation:
- DFT total energy: -1.916 eV/atom
- Energy relative to the lowest polymorph listed for this composition: 75 meV/atom

Cell: 4.1737 4.1737 34.6097 Å, 90.00 90.00 120.00°
Space group R-3m (No. 166, hexagonal axes)
One atom of each set of equivalent atoms:
Rb  0.0000  0.0000  0.0000
Sr  0.0000  0.0000  0.1220
H  0.0000  0.0000  0.5000

18.
VASP calculation (PBE-GGA) on a relaxed BeIn2O2 crystal.

Values from the calculation:
- DFT total energy: -3.854 eV/atom
- Formation energy (no corrections): -0.03 eV/atom
- Energy relative to the lowest polymorph listed for this composition: 400 meV/atom

Cell: 6.7520 6.7520 3.1995 Å, 90.00 90.00 90.00°
Space group P4/mbm (No. 127)
One atom of each set of equivalent atoms:
Be  0.0000  0.0000  0.0000
In  0.1591  0.3409  0.0000
O  0.1407  0.6407  0.5000

19.
VASP calculation (PBE-GGA) on a relaxed Ba6AsI3Br2 crystal.

Values from the calculation:
- DFT total energy: -3.472 eV/atom
- Formation energy (no corrections): -1.46 eV/atom

Cell: 8.2643 14.3144 8.7839 Å, 90.00 108.18 90.00°
Space group C2/m (No. 12)
One atom of each set of equivalent atoms:
Ba  0.2323  0.1600  0.2171
Ba  0.2454  0.0000  0.7788
As  0.0000  0.0000  0.0000
I  0.0000  0.1700  0.5000
I  0.0000  0.5000  0.5000
Br  0.0000  0.3338  0.0000

20.
VASP calculation (PBE-GGA) on a relaxed Pm2Hg5Pd crystal.

Values from the calculation:
- DFT total energy: -2.323 eV/atom
- ΔH_f (0 K): -298 meV/atom

Cell: 4.8073 4.8073 31.4134 Å, 90.00 90.00 120.00°
Space group R-3m (No. 166, hexagonal axes)
One atom of each set of equivalent atoms:
Pm  0.0000  0.0000  0.0889
Hg  0.0000  0.0000  0.2013
Hg  0.0000  0.0000  0.3625
Hg  0.0000  0.0000  0.5000
Pd  0.0000  0.0000  0.0000